Mg3Ga: single point on PBEsol structure, SCAN.

As for the formation energy: -0.11 eV per atom. The calculation puts the total energy at -7.93 eV per atom. The density of states at the Fermi level is 1.57 states/eV/f.u.

Cell: 6.1119 6.1119 4.9487 Å, 90.00 90.00 120.00°
Space group P6_3/mmc (No. 194)
Asymmetric unit:
Mg (0.1695, 0.3390, 0.2500) (multiplicity 6)
Ga (0.3333, 0.6667, 0.7500) (multiplicity 2)